# 1
## Sm4Tm5Tl (PBE)

Data for a relaxed structure of Sm4Tm5Tl.

**VASP energy**: -4.42 eV per atom
**Spin magnetization**: 0.0 μB/cell
**Space group**: P4/mmm, No. 123
**Relative energy among the computed polymorphs**: 0.00 kcal/mol of atoms
**V**: 309 Å³ per cell
**Formation energy**: -56 meV/atom

a b c (Å): 3.5809 3.5809 24.1226
angles (deg): 90.00 90.00 90.00
Atoms (fractional coordinates):
Sm 0.0000 0.0000 0.6033
Tm 0.5000 0.5000 0.7063
Sm 0.0000 0.0000 0.1886
Sm 0.0000 0.0000 0.8114
Tm 0.5000 0.5000 0.9139
Tm 0.5000 0.5000 0.5000
Tm 0.5000 0.5000 0.0861
Tl 0.0000 0.0000 0.0000
Tm 0.5000 0.5000 0.2937
Sm 0.0000 0.0000 0.3967

# 2
## Sm3Tm4Tl (PBE)

Data for a relaxed structure of Sm3Tm4Tl.

**VASP energy**: -4.38 eV per atom
**Spin magnetization**: 0.0 μB/cell
**Space group**: Pmn2_1, No. 31
**V**: 486 Å³ per cell
**Formation energy**: -77 meV/atom

a b c (Å): 6.1773 7.0324 11.1932
angles (deg): 90.00 90.00 90.00
Atoms (fractional coordinates):
Tl 0.6538 0.6397 0.5000
Tm 0.1650 0.8819 0.0000
Tm 0.9880 0.1223 0.7587
Sm 0.9750 0.6163 0.7633
Tm 0.1461 0.8726 0.5000
Sm 0.1243 0.3710 0.5000
Sm 0.4750 0.3836 0.2633
Tm 0.6650 0.1181 0.5000
Tm 0.4880 0.8777 0.2587
Tm 0.4880 0.8777 0.7413
Sm 0.6243 0.6290 0.0000
Sm 0.9750 0.6163 0.2367
Sm 0.4750 0.3836 0.7367
Tl 0.1538 0.3603 0.0000
Tm 0.9880 0.1223 0.2413
Tm 0.6461 0.1274 0.0000

# 3
## SmYTmTl (PBE)

Data for a relaxed structure of SmYTmTl.

**VASP energy**: -4.56 eV per atom
**Spin magnetization**: 1.3 μB/cell
**Space group**: F-43m, No. 216
**Relative energy among the computed polymorphs**: 2.87 kcal/mol of atoms
**V**: 117 Å³ per cell
**Formation energy**: -59 meV/atom

a b c (Å): 5.4902 5.4902 5.4902
angles (deg): 60.00 60.00 60.00
Each line ends with the local moment (μB).
Atoms (fractional coordinates):
Tl 0.0000 0.0000 0.0000  0.00
Sm 0.2500 0.2500 0.2500  0.21
Tm 0.5000 0.5000 0.5000  0.37
Y 0.7500 0.7500 0.7500  0.24

# 4
## Sm2YTmTl2 (PBE)

Data for a relaxed structure of Sm2YTmTl2.

**VASP energy**: -4.46 eV per atom
**Spin magnetization**: 0.0 μB/cell
**Space group**: Pmc2_1, No. 26
**V**: 355 Å³ per cell
**Formation energy**: -276 meV/atom

a b c (Å): 5.1056 6.8925 10.0749
angles (deg): 90.00 90.00 90.00
Atoms (fractional coordinates):
Tm 0.5000 0.1752 0.6867
Tm 0.5000 0.6752 0.3133
Y 0.0000 0.9602 0.4562
Sm 0.0000 0.8338 0.8131
Tl 0.5000 0.7204 0.6247
Tl 0.0000 0.2994 0.8584
Tl 0.5000 0.2204 0.3753
Y 0.0000 0.4602 0.5438
Sm 0.5000 0.0565 0.0449
Sm 0.5000 0.5565 0.9551
Tl 0.0000 0.7994 0.1416
Sm 0.0000 0.3338 0.1869

# 5
## SmYTmTl (PBE)

Data for a relaxed structure of SmYTmTl.

**VASP energy**: -4.69 eV per atom
**Spin magnetization**: 0.9 μB/cell
**Space group**: Pmmm, No. 47
**Relative energy among the computed polymorphs**: 0.00 kcal/mol of atoms
**V**: 116 Å³ per cell
**Formation energy**: -183 meV/atom

a b c (Å): 4.8754 4.9062 4.8302
angles (deg): 90.00 90.00 90.00
Each line ends with the local moment (μB).
Atoms (fractional coordinates):
Y 0.0000 0.0000 0.0000  0.18
Sm 0.0000 0.5000 0.5000  0.17
Tl 0.5000 0.0000 0.5000  -0.01
Tm 0.5000 0.5000 0.0000  0.24

# 6
## SmY2TmTl2 (PBE)

Data for a relaxed structure of SmY2TmTl2.

**VASP energy**: -4.76 eV per atom
**Spin magnetization**: 0.0 μB/cell
**Space group**: Pmc2_1, No. 26
**V**: 351 Å³ per cell
**Formation energy**: -287 meV/atom

a b c (Å): 5.0872 6.9132 9.9706
angles (deg): 90.00 90.00 90.00
Atoms (fractional coordinates):
Sm 0.0000 0.4580 0.5465
Tl 0.0000 0.7965 0.1328
Y 0.0000 0.3418 0.1854
Y 0.5000 0.5537 0.9522
Tl 0.5000 0.7218 0.6308
Sm 0.0000 0.9580 0.4535
Tl 0.5000 0.2218 0.3692
Y 0.5000 0.0537 0.0478
Tl 0.0000 0.2965 0.8672
Y 0.0000 0.8418 0.8146
Tm 0.5000 0.1737 0.6917
Tm 0.5000 0.6737 0.3083

# 7
## SmTmTlZn (PBE)

Data for a relaxed structure of SmTmTlZn.

**VASP energy**: -3.52 eV per atom
**Spin magnetization**: 0.0 μB/cell
**Space group**: F-43m, No. 216
**Relative energy among the computed polymorphs**: 0.71 kcal/mol of atoms
**V**: 102 Å³ per cell
**Formation energy**: -315 meV/atom

a b c (Å): 5.2513 5.2513 5.2513
angles (deg): 60.00 60.00 60.00
Atoms (fractional coordinates):
Sm 0.2500 0.2500 0.2500
Tl 0.5000 0.5000 0.5000
Tm 0.7500 0.7500 0.7500
Zn 0.0000 0.0000 0.0000

# 8
## SmTmTlZn (PBE)

Data for a relaxed structure of SmTmTlZn.

**VASP energy**: -3.55 eV per atom
**Spin magnetization**: 0.0 μB/cell
**Space group**: P4mm, No. 99
**Relative energy among the computed polymorphs**: 0.00 kcal/mol of atoms
**V**: 101 Å³ per cell
**Formation energy**: -345 meV/atom

a b c (Å): 3.6752 3.6752 7.4790
angles (deg): 90.00 90.00 90.00
Atoms (fractional coordinates):
Sm 0.0000 0.0000 0.8365
Tm 0.0000 0.0000 0.3798
Zn 0.5000 0.5000 0.5916
Tl 0.5000 0.5000 0.1201